1.
# YEr5Sc2 | Alexandria | GGA-PBE | optimized geometry
data_YEr5Sc2
_space_group_name_H-M_alt 'I 4/m c m'
_space_group_IT_number 140
_space_group_name_Hall '-I 4 2c'
_cell_length_a 8.728
_cell_length_b 8.728
_cell_length_c 12.337
_cell_angle_alpha 90.00
_cell_angle_beta 90.00
_cell_angle_gamma 90.00
loop_
_atom_site_label
_atom_site_fract_x
_atom_site_fract_y
_atom_site_fract_z
Y1 0.000 0.000 0.250
Er1 0.000 0.000 0.000
Er2 0.151 0.349 0.158
Sc1 0.143 0.357 0.500
# formation energy = 0.1021 eV/atom

***

2.
# Ca3Pb | Alexandria | GGA-PBE | optimized geometry
data_Ca3Pb
_space_group_name_H-M_alt 'P 4/m m m'
_space_group_IT_number 123
_space_group_name_Hall '-P 4 2'
_cell_length_a 3.845
_cell_length_b 3.845
_cell_length_c 9.803
_cell_angle_alpha 90.00
_cell_angle_beta 90.00
_cell_angle_gamma 90.00
loop_
_atom_site_label
_atom_site_fract_x
_atom_site_fract_y
_atom_site_fract_z
Ca1 0.000 0.000 0.000
Ca2 0.500 0.500 0.297
Pb1 0.000 0.000 0.500
# formation energy = -0.2848 eV/atom

***

3.
# ScTiMnTc | Alexandria | GGA-PBE | optimized geometry
data_ScTiMnTc
_space_group_name_H-M_alt 'F -4 3 m'
_space_group_IT_number 216
_space_group_name_Hall 'F -4 2 3'
_cell_length_a 6.319
_cell_length_b 6.319
_cell_length_c 6.319
_cell_angle_alpha 90.00
_cell_angle_beta 90.00
_cell_angle_gamma 90.00
loop_
_atom_site_label
_atom_site_fract_x
_atom_site_fract_y
_atom_site_fract_z
Sc1 0.000 0.000 0.000
Ti1 0.000 0.000 0.500
Mn1 0.250 0.250 0.750
Tc1 0.250 0.250 0.250
# formation energy = -0.1567 eV/atom

***

4.
# TaMn3Pd | Alexandria | GGA-PBE | optimized geometry
data_TaMn3Pd
_space_group_name_H-M_alt 'P m -3 m'
_space_group_IT_number 221
_space_group_name_Hall '-P 4 2 3'
_cell_length_a 4.446
_cell_length_b 4.446
_cell_length_c 4.446
_cell_angle_alpha 90.00
_cell_angle_beta 90.00
_cell_angle_gamma 90.00
loop_
_atom_site_label
_atom_site_fract_x
_atom_site_fract_y
_atom_site_fract_z
Ta1 0.000 0.000 0.000
Mn1 0.000 0.000 0.500
Pd1 0.500 0.500 0.500
# formation energy = 1.8025 eV/atom

***

5.
# NbPdSI | Alexandria | GGA-PBE | optimized geometry
data_NbPdSI
_space_group_name_H-M_alt 'P 1'
_space_group_IT_number 1
_space_group_name_Hall 'P 1'
_cell_length_a 4.009
_cell_length_b 4.050
_cell_length_c 6.336
_cell_angle_alpha 78.80
_cell_angle_beta 78.61
_cell_angle_gamma 64.58
loop_
_atom_site_label
_atom_site_fract_x
_atom_site_fract_y
_atom_site_fract_z
Nb1 0.000 0.000 0.000
Pd1 0.559 0.562 0.284
S1 0.347 0.353 0.996
I1 0.114 0.111 0.547
# ΔE_f (raw) = -0.304 eV per atom

***

6.
# CdSi2Os | Alexandria | GGA-PBE | optimized geometry
data_CdSi2Os
_space_group_name_H-M_alt 'I m m 2'
_space_group_IT_number 44
_space_group_name_Hall 'I 2 -2'
_cell_length_a 2.878
_cell_length_b 3.835
_cell_length_c 12.844
_cell_angle_alpha 90.00
_cell_angle_beta 90.00
_cell_angle_gamma 90.00
loop_
_atom_site_label
_atom_site_fract_x
_atom_site_fract_y
_atom_site_fract_z
Cd1 0.000 0.000 0.000
Si1 0.000 0.000 0.368
Si2 0.000 0.500 0.174
Os1 0.000 0.500 0.716
# ΔE_f (raw) = 0.133 eV per atom

***

7.
# Li3Mg4In4 | Alexandria | GGA-PBE | optimized geometry
data_Li3Mg4In4
_space_group_name_H-M_alt 'P -1'
_space_group_IT_number 2
_space_group_name_Hall '-P 1'
_cell_length_a 3.285
_cell_length_b 4.322
_cell_length_c 16.923
_cell_angle_alpha 97.10
_cell_angle_beta 95.48
_cell_angle_gamma 90.19
loop_
_atom_site_label
_atom_site_fract_x
_atom_site_fract_y
_atom_site_fract_z
Li1 0.000 0.000 0.000
Li2 0.361 0.364 0.726
Mg1 0.093 0.089 0.180
Mg2 0.272 0.273 0.548
In1 0.181 0.181 0.361
In2 0.453 0.454 0.908
# formation energy = -0.1720 eV/atom

***

8.
# CuOsRu2 | Alexandria | GGA-PBE | optimized geometry
data_CuOsRu2
_space_group_name_H-M_alt 'P 4/m m m'
_space_group_IT_number 123
_space_group_name_Hall '-P 4 2'
_cell_length_a 4.514
_cell_length_b 4.514
_cell_length_c 2.744
_cell_angle_alpha 90.00
_cell_angle_beta 90.00
_cell_angle_gamma 90.00
loop_
_atom_site_label
_atom_site_fract_x
_atom_site_fract_y
_atom_site_fract_z
Cu1 0.000 0.000 0.000
Os1 0.500 0.500 0.000
Ru1 0.000 0.500 0.500
# formation energy = 0.4732 eV/atom

***

9.
# Tm2Zn3Cu12Ag | Alexandria | GGA-PBE | optimized geometry
data_Tm2Zn3Cu12Ag
_space_group_name_H-M_alt 'R -3 m'
_space_group_IT_number 166
_space_group_name_Hall '-R 3 2"'
_cell_length_a 6.3078
_cell_length_b 6.3078
_cell_length_c 26.1047
_cell_angle_alpha 90.00
_cell_angle_beta 90.00
_cell_angle_gamma 120.00
loop_
_atom_site_label
_atom_site_fract_x
_atom_site_fract_y
_atom_site_fract_z
Tm1 0.0000 0.0000 0.1402
Zn1 0.0000 0.5000 0.0000
Cu1 0.0533 0.5266 0.8983
Cu2 0.0805 0.5402 0.6218
Ag1 0.0000 0.0000 0.5000
# formation energy = 0.1261 eV/atom

***

10.
# Y2VAuN | Alexandria | GGA-PBE | optimized geometry
data_Y2VAuN
_space_group_name_H-M_alt 'P 4/m m m'
_space_group_IT_number 123
_space_group_name_Hall '-P 4 2'
_cell_length_a 4.925
_cell_length_b 4.925
_cell_length_c 3.894
_cell_angle_alpha 90.00
_cell_angle_beta 90.00
_cell_angle_gamma 90.00
loop_
_atom_site_label
_atom_site_fract_x
_atom_site_fract_y
_atom_site_fract_z
Y1 0.000 0.500 0.000
V1 0.000 0.000 0.500
Au1 0.500 0.500 0.500
N1 0.000 0.000 0.000
# ΔE_f (raw) = -0.910 eV per atom

***

11.
# Ta2InCo | Alexandria | GGA-PBE | optimized geometry
data_Ta2InCo
_space_group_name_H-M_alt 'R 3 m'
_space_group_IT_number 160
_space_group_name_Hall 'R 3 -2"'
_cell_length_a 3.0791
_cell_length_b 3.0791
_cell_length_c 26.0013
_cell_angle_alpha 90.00
_cell_angle_beta 90.00
_cell_angle_gamma 120.00
loop_
_atom_site_label
_atom_site_fract_x
_atom_site_fract_y
_atom_site_fract_z
Ta1 0.0000 0.0000 0.0000
Ta2 0.0000 0.0000 0.2447
In1 0.0000 0.0000 0.4817
Co1 0.0000 0.0000 0.7331
# formation energy = 0.2150 eV/atom

***

12.
# Er4AuS2 | Alexandria | GGA-PBE | optimized geometry
data_Er4AuS2
_space_group_name_H-M_alt 'C m c m'
_space_group_IT_number 63
_space_group_name_Hall '-C 2c 2'
_cell_length_a 3.843
_cell_length_b 12.650
_cell_length_c 13.488
_cell_angle_alpha 90.00
_cell_angle_beta 90.00
_cell_angle_gamma 90.00
loop_
_atom_site_label
_atom_site_fract_x
_atom_site_fract_y
_atom_site_fract_z
Er1 0.000 0.000 0.000
Er2 0.000 0.276 0.121
Er3 0.000 0.439 0.750
Au1 0.000 0.111 0.750
S1 0.000 0.363 0.560
# ΔE_f (raw) = -1.413 eV per atom

***

13.
# CaCe2Cl7 | Alexandria | GGA-PBE | optimized geometry
data_CaCe2Cl7
_space_group_name_H-M_alt 'R -3 m'
_space_group_IT_number 166
_space_group_name_Hall '-R 3 2"'
_cell_length_a 4.9434
_cell_length_b 4.9434
_cell_length_c 40.6222
_cell_angle_alpha 90.00
_cell_angle_beta 90.00
_cell_angle_gamma 120.00
loop_
_atom_site_label
_atom_site_fract_x
_atom_site_fract_y
_atom_site_fract_z
Ca1 0.0000 0.0000 0.0000
Ce1 0.0000 0.0000 0.4313
Cl1 0.0000 0.0000 0.0696
Cl2 0.0000 0.0000 0.2198
Cl3 0.0000 0.0000 0.3558
Cl4 0.0000 0.0000 0.5000
# ΔE_f (raw) = -2.141 eV per atom

***

14.
# Tb4Nd2SmHo | Alexandria | GGA-PBE | optimized geometry
data_Tb4Nd2SmHo
_space_group_name_H-M_alt 'C 1 2/c 1'
_space_group_IT_number 15
_space_group_name_Hall '-C 2yc'
_cell_length_a 13.703
_cell_length_b 13.311
_cell_length_c 6.849
_cell_angle_alpha 90.00
_cell_angle_beta 119.98
_cell_angle_gamma 90.00
loop_
_atom_site_label
_atom_site_fract_x
_atom_site_fract_y
_atom_site_fract_z
Tb1 0.000 0.245 0.000
Tb2 0.246 0.000 0.495
Nd1 0.000 0.500 0.000
Nd2 0.250 0.250 0.000
Sm1 0.250 0.250 0.500
Ho1 0.000 0.000 0.000
# formation energy = 0.4116 eV/atom

***

15.
# La2SbO2 | Alexandria | GGA-PBE | optimized geometry
data_La2SbO2
_space_group_name_H-M_alt 'P 4/m m m'
_space_group_IT_number 123
_space_group_name_Hall '-P 4 2'
_cell_length_a 3.861
_cell_length_b 3.861
_cell_length_c 7.594
_cell_angle_alpha 90.00
_cell_angle_beta 90.00
_cell_angle_gamma 90.00
loop_
_atom_site_label
_atom_site_fract_x
_atom_site_fract_y
_atom_site_fract_z
La1 0.000 0.000 0.195
Sb1 0.500 0.500 0.500
O1 0.000 0.500 0.000
# ΔE_f (raw) = -2.196 eV per atom

***

16.
# CeDyHo2Er4 | Alexandria | GGA-PBE | optimized geometry
data_CeDyHo2Er4
_space_group_name_H-M_alt 'P m m m'
_space_group_IT_number 47
_space_group_name_Hall '-P 2 2'
_cell_length_a 4.973
_cell_length_b 4.985
_cell_length_c 9.919
_cell_angle_alpha 90.00
_cell_angle_beta 90.00
_cell_angle_gamma 90.00
loop_
_atom_site_label
_atom_site_fract_x
_atom_site_fract_y
_atom_site_fract_z
Ce1 0.000 0.000 0.000
Dy1 0.500 0.500 0.500
Ho1 0.000 0.000 0.500
Ho2 0.500 0.500 0.000
Er1 0.000 0.500 0.249
Er2 0.500 0.000 0.249
# formation energy = 0.0443 eV/atom

***

17.
# Sm2InF | Alexandria | GGA-PBE | optimized geometry
data_Sm2InF
_space_group_name_H-M_alt 'R -3 m'
_space_group_IT_number 166
_space_group_name_Hall '-R 3 2"'
_cell_length_a 3.7651
_cell_length_b 3.7651
_cell_length_c 23.3507
_cell_angle_alpha 90.00
_cell_angle_beta 90.00
_cell_angle_gamma 120.00
loop_
_atom_site_label
_atom_site_fract_x
_atom_site_fract_y
_atom_site_fract_z
Sm1 0.0000 0.0000 0.2292
In1 0.0000 0.0000 0.0000
F1 0.0000 0.0000 0.5000
# ΔE_f (raw) = -1.336 eV per atom

***

18.
# MgNb3Cu | Alexandria | GGA-PBE | optimized geometry
data_MgNb3Cu
_space_group_name_H-M_alt 'P m -3 m'
_space_group_IT_number 221
_space_group_name_Hall '-P 4 2 3'
_cell_length_a 4.719
_cell_length_b 4.719
_cell_length_c 4.719
_cell_angle_alpha 90.00
_cell_angle_beta 90.00
_cell_angle_gamma 90.00
loop_
_atom_site_label
_atom_site_fract_x
_atom_site_fract_y
_atom_site_fract_z
Mg1 0.000 0.000 0.000
Nb1 0.000 0.500 0.500
Cu1 0.500 0.500 0.500
# formation energy = 1.0177 eV/atom